Record 1
Material: Na2Sr2Hg
Method: DFT, PBE
State: optimized geometry

Cell lengths 8.7435, 8.7435, 5.8609 Å; angles 90.00, 90.00, 90.00 degrees
Closest atoms and distances in Å follow each position.
Space group P4/mbm (No. 127)
One atom of each set of equivalent atoms:
Na 0.1469 0.3531 0.0000  1 Na 3.63, 6 Sr 3.75-4.00
Sr 0.1638 0.6638 0.5000  2 Hg 3.27
Hg 0.0000 0.0000 0.5000  4 Sr 3.27

Computed properties:
Offset from the most stable computed form ... 0.205 eV per atom
Energy of formation from the pure elements ... -0.024 eV per atom
N(E_F) ... 8.6 states/eV/cell

***

Record 2
Material: Nd4BiTe2S
Method: DFT, PBE
State: optimized geometry

Cell lengths 7.6964, 4.3801, 7.7366 Å; angles 90.00, 108.96, 90.00 degrees
Closest atoms and distances in Å follow each position.
Space group P2/m (No. 10)
One atom of each set of equivalent atoms:
Nd 0.2188 0.0000 0.2197  2 S 2.94, 1 Te 3.15, 1 Bi 3.16
Nd 0.2308 0.5000 0.7680  1 S 2.91, 2 Te 3.14, 2 Bi 3.15
Bi 0.5000 0.0000 0.0000  6 Nd 3.15-3.16
Te 0.0000 0.0000 0.5000  6 Nd 3.14-3.15
Te 0.5000 0.5000 0.5000  6 Nd 3.34-3.37
S 0.0000 0.5000 0.0000  6 Nd 2.91-2.94

Computed properties:
ΔE_f (raw) ... -1430 meV per atom
N(E_F) ... 4.0 states/eV/cell

***

Record 3
Material: SrTlZn2Pt
Method: DFT, PBE
State: optimized geometry

Cell lengths 4.9425, 4.9425, 5.3000 Å; angles 90.00, 90.00, 90.00 degrees
Closest atoms and distances in Å follow each position.
Space group P4/mmm (No. 123)
One atom of each set of equivalent atoms:
Sr 0.0000 0.0000 0.0000  4 Tl 3.49, 8 Zn 3.62
Tl 0.5000 0.5000 0.0000  2 Pt 2.65
Zn 0.0000 0.5000 0.5000  2 Pt 2.47
Pt 0.5000 0.5000 0.5000  4 Zn 2.47, 2 Tl 2.65

Computed properties:
Energy of formation from the pure elements ... -0.268 eV per atom
N(E_F) ... 2.9 states/eV/cell

***

Record 4
Material: Sr2BePdO4
Method: DFT, PBE
State: optimized geometry

Cell lengths 5.9080, 5.9080, 6.1395 Å; angles 90.00, 90.00, 90.00 degrees
Closest atoms and distances in Å follow each position.
Space group I-4 (No. 82)
One atom of each set of equivalent atoms:
Sr 0.0000 0.0000 0.0000  4 O 2.51
Sr 0.0000 0.5000 0.2500  4 O 2.45
Be 0.0000 0.0000 0.5000  4 O 1.71
Pd 0.0000 0.5000 0.7500  4 O 2.10
O 0.1424 0.8122 0.6607  1 Be 1.71

Computed properties:
ΔE_f (raw) ... -1980 meV per atom

***

Record 5
Material: Rb3Ho2MgS6
Method: DFT, PBE
State: optimized geometry

Cell lengths 6.9416, 12.0284, 8.0306 Å; angles 90.00, 106.77, 90.00 degrees
Closest atoms and distances in Å follow each position.
Space group C2/m (No. 12)
One atom of each set of equivalent atoms:
Rb 0.0000 0.0000 0.0000  6 S 3.32-3.35
Rb 0.0000 0.3334 0.0000  6 S 3.32-3.35
Ho 0.0000 0.1666 0.5000  6 S 2.75
Mg 0.0000 0.5000 0.5000  6 S 2.71
S 0.2276 0.3354 0.6892  1 Mg 2.71, 2 Ho 2.75
S 0.2340 0.0000 0.6894  1 Mg 2.71, 2 Ho 2.75

Computed properties:
ΔE_f (raw) ... -1522 meV per atom
N(E_F) ... 21.9 states/eV/cell

***

Record 6
Material: Tb3PmSm3
Method: DFT, PBE
State: optimized geometry

Cell lengths 8.7348, 8.7348, 21.9509 Å; angles 90.00, 90.00, 120.00 degrees
Closest atoms and distances in Å follow each position.
Space group R-3 (No. 148, hexagonal axes)
One atom of each set of equivalent atoms:
Tb 0.0039 0.7711 0.0586  4 Tb 3.27-3.49, 4 Sm 3.31-3.65, 1 Pm 3.56
Pm 0.0000 0.0000 0.3471  6 Tb 3.56-3.82, 6 Sm 3.67-3.77
Sm 0.0511 0.6028 0.8811  4 Tb 3.31-3.65, 2 Sm 3.65, 1 Pm 3.67

Computed properties:
Offset from the most stable computed form ... 0.000 eV per atom
Energy of formation from the pure elements ... 0.210 eV per atom
N(E_F) ... 64.4 states/eV/cell

***

Record 7
Material: SiB3Ru
Method: DFT, PBE
State: optimized geometry

Cell lengths 3.8667, 3.8667, 3.8667 Å; angles 90.00, 90.00, 90.00 degrees
Closest atoms and distances in Å follow each position.
Space group Pm-3m (No. 221)
One atom of each set of equivalent atoms:
Si 0.0000 0.0000 0.0000  6 B 1.93
B 0.0000 0.0000 0.5000  2 Si 1.93
Ru 0.5000 0.5000 0.5000  12 B 2.73

Computed properties:
Offset from the most stable computed form ... 0.448 eV per atom
ΔE_f (raw) ... 1759 meV per atom
N(E_F) ... 5.9 states/eV/cell

***

Record 8
Material: BaAc3Pb2
Method: DFT, PBE
State: optimized geometry

Cell lengths 20.0890, 5.1089, 10.7170 Å; angles 90.00, 113.34, 90.00 degrees
Closest atoms and distances in Å follow each position.
Space group C2/m (No. 12)
One atom of each set of equivalent atoms:
Ba 0.1122 0.0000 0.1260  6 Pb 3.61-3.81, 1 Ac 3.89
Ac 0.0521 0.0000 0.6883  3 Pb 3.40-3.69, 3 Ac 3.74-3.78
Ac 0.1455 0.5000 0.4777  4 Pb 3.51-3.69
Ac 0.1950 0.5000 0.8786  3 Pb 3.48-3.61, 4 Ac 3.69-3.78, 1 Ba 3.89
Pb 0.0103 0.5000 0.8536  1 Pb 3.32, 4 Ac 3.40-3.69, 2 Ba 3.61
Pb 0.2392 0.0000 0.7043  6 Ac 3.48-3.69, 2 Ba 3.80

Computed properties:
Energy of formation from the pure elements ... -0.329 eV per atom
N(E_F) ... 25.8 states/eV/cell

***

Record 9
Material: GaCBrCl2
Method: DFT, PBE
State: optimized geometry

Cell lengths 5.9106, 5.9106, 3.8486 Å; angles 90.00, 90.00, 90.00 degrees
Closest atoms and distances in Å follow each position.
Space group P4/mmm (No. 123)
One atom of each set of equivalent atoms:
Ga 0.0000 0.0000 0.0000  8 Cl 3.53, 2 Ga 3.85
C 0.5000 0.5000 0.0000  2 Br 1.92
Br 0.5000 0.5000 0.5000  2 C 1.92
Cl 0.0000 0.5000 0.5000  2 Br 2.96

Computed properties:
ΔE_f (raw) ... 1036 meV per atom
N(E_F) ... 1.3 states/eV/cell

***

Record 10
Material: Co2AsRh
Method: DFT, PBE
State: optimized geometry

Cell lengths 5.9186, 5.9186, 5.9186 Å; angles 90.00, 90.00, 90.00 degrees
Closest atoms and distances in Å follow each position.
Space group F-43m (No. 216)
One atom of each set of equivalent atoms:
Co 0.0000 0.0000 0.0000  4 As 2.56, 4 Co 2.56
Co 0.2500 0.2500 0.2500  4 Co 2.56, 4 Rh 2.56
As 0.2500 0.2500 0.7500  4 Co 2.56, 4 Rh 2.56
Rh 0.0000 0.0000 0.5000  4 Co 2.56, 4 As 2.56

Computed properties:
Energy of formation from the pure elements ... 0.051 eV per atom
N(E_F) ... 24.4 states/eV/cell

***

Record 11
Material: Sc2Mo
Method: DFT, PBE
State: optimized geometry

Cell lengths 4.7808, 4.7808, 5.9958 Å; angles 90.00, 90.00, 120.00 degrees
Closest atoms and distances in Å follow each position.
Space group P6_3/mmc (No. 194)
One atom of each set of equivalent atoms:
Sc 0.0000 0.0000 0.0000  8 Sc 3.00-3.14, 6 Mo 3.14
Sc 0.3333 0.6667 0.2500  5 Mo 2.76-3.00
Mo 0.3333 0.6667 0.7500  5 Sc 2.76-3.00

Computed properties:
Offset from the most stable computed form ... 0.108 eV per atom
Energy of formation from the pure elements ... 0.122 eV per atom
N(E_F) ... 3.1 states/eV/cell

***

Record 12
Material: SrAc2Ce
Method: DFT, PBE
State: optimized geometry

Cell lengths 3.8799, 3.8799, 11.2415 Å; angles 90.00, 90.00, 90.00 degrees
Closest atoms and distances in Å follow each position.
Space group P4/mmm (No. 123)
One atom of each set of equivalent atoms:
Sr 0.0000 0.0000 0.0000  4 Sr 3.88, 8 Ac 4.17
Ac 0.5000 0.5000 0.2798  4 Ce 3.70, 4 Ac 3.88
Ce 0.0000 0.0000 0.5000  8 Ac 3.70, 4 Ce 3.88

Computed properties:
Offset from the most stable computed form ... 0.000 eV per atom
Energy of formation from the pure elements ... 0.112 eV per atom
N(E_F) ... 8.4 states/eV/cell

***

Record 13
Material: BeCrSi2
Method: DFT, PBE
State: optimized geometry

Cell lengths 6.5475, 6.5475, 4.7027 Å; angles 90.00, 90.00, 90.00 degrees
Closest atoms and distances in Å follow each position.
Space group I-42d (No. 122)
One atom of each set of equivalent atoms:
Be 0.0000 0.0000 0.0000  4 Si 2.24, 2 Cr 2.35
Cr 0.0000 0.0000 0.5000  2 Be 2.35, 4 Si 2.55
Si 0.2150 0.2500 0.1250  2 Be 2.24, 2 Si 2.40

Computed properties:
ΔE_f (raw) ... 528 meV per atom
N(E_F) ... 17.8 states/eV/cell

***

Record 14
Material: Ac5NdAg4
Method: DFT, PBE
State: optimized geometry

Cell lengths 3.9473, 3.9473, 21.2088 Å; angles 90.00, 90.00, 90.00 degrees
Closest atoms and distances in Å follow each position.
Space group P4/mmm (No. 123)
One atom of each set of equivalent atoms:
Ac 0.0000 0.0000 0.0000  8 Ag 3.43
Ac 0.0000 0.0000 0.1888  8 Ag 3.43-3.44
Ac 0.0000 0.0000 0.3750  4 Ag 3.41
Nd 0.5000 0.5000 0.5000  8 Ac 3.85, 4 Nd 3.95
Ag 0.5000 0.5000 0.0940  8 Ac 3.43-3.44
Ag 0.5000 0.5000 0.2828  8 Ac 3.41-3.43

Computed properties:
Energy of formation from the pure elements ... -0.198 eV per atom
N(E_F) ... 9.4 states/eV/cell

***

Record 15
Material: NaErHgSb
Method: DFT, PBE
State: optimized geometry

Cell lengths 7.4345, 7.4345, 7.4345 Å; angles 90.00, 90.00, 90.00 degrees
Closest atoms and distances in Å follow each position.
Space group F-43m (No. 216)
One atom of each set of equivalent atoms:
Na 0.0000 0.0000 0.0000  4 Sb 3.22, 4 Hg 3.22
Er 0.0000 0.0000 0.5000  4 Hg 3.22, 4 Sb 3.22
Hg 0.2500 0.2500 0.7500  4 Na 3.22, 4 Er 3.22
Sb 0.2500 0.2500 0.2500  4 Na 3.22, 4 Er 3.22

Computed properties:
ΔE_f (raw) ... -447 meV per atom
N(E_F) ... 15.0 states/eV/cell

***

Record 16
Material: PrDyYEr2
Method: DFT, PBE
State: optimized geometry

Cell lengths 8.3968, 11.5057, 7.2188 Å; angles 90.00, 90.00, 90.00 degrees
Closest atoms and distances in Å follow each position.
Space group Cmcm (No. 63)
One atom of each set of equivalent atoms:
Pr 0.0000 0.2279 0.2500  1 Y 3.15
Dy 0.0000 0.2200 0.7500  1 Y 3.21, 4 Er 3.49
Y 0.0000 0.4987 0.7500  1 Pr 3.15, 4 Er 3.18, 1 Dy 3.21
Er 0.1885 0.0000 0.0000  1 Er 3.17, 2 Y 3.18, 2 Dy 3.49

Computed properties:
Energy of formation from the pure elements ... 0.381 eV per atom
N(E_F) ... 26.8 states/eV/cell

***

Record 17
Material: AlFe2Ru
Method: DFT, PBE
State: optimized geometry

Cell lengths 3.0548, 3.0548, 5.4933 Å; angles 90.00, 90.00, 90.00 degrees
Closest atoms and distances in Å follow each position.
Space group P4/mmm (No. 123)
One atom of each set of equivalent atoms:
Al 0.0000 0.0000 0.0000  8 Fe 2.54, 2 Ru 2.75
Fe 0.5000 0.5000 0.2441  4 Al 2.54, 4 Ru 2.58, 2 Fe 2.68-2.81
Ru 0.0000 0.0000 0.5000  8 Fe 2.58, 2 Al 2.75

Computed properties:
Energy of formation from the pure elements ... -0.042 eV per atom
N(E_F) ... 5.0 states/eV/cell

***

Record 18
Material: Zr7Ga2Co2
Method: DFT, PBE
State: optimized geometry

Cell lengths 7.3331, 10.0732, 6.2353 Å; angles 90.00, 90.00, 90.00 degrees
Closest atoms and distances in Å follow each position.
Space group Cmmm (No. 65)
One atom of each set of equivalent atoms:
Zr 0.0000 0.0000 0.0000  2 Co 2.81
Zr 0.0000 0.5000 0.2492  2 Co 2.71, 2 Ga 2.88
Zr 0.2500 0.2500 0.2552  2 Co 2.45
Ga 0.1706 0.0000 0.5000  1 Ga 2.50
Co 0.0000 0.2794 0.0000  6 Zr 2.45-2.71

Computed properties:
Energy of formation from the pure elements ... -0.106 eV per atom
N(E_F) ... 18.3 states/eV/cell

***

Record 19
Material: NaTlIn2Pt
Method: DFT, PBE
State: optimized geometry

Cell lengths 5.1664, 5.1664, 5.5424 Å; angles 90.00, 90.00, 90.00 degrees
Closest atoms and distances in Å follow each position.
Space group P4/mmm (No. 123)
One atom of each set of equivalent atoms:
Na 0.0000 0.0000 0.0000  2 Pt 2.77
Tl 0.5000 0.5000 0.0000  4 Na 3.65, 8 In 3.79
In 0.0000 0.5000 0.5000  2 Pt 2.58
Pt 0.0000 0.0000 0.5000  4 In 2.58, 2 Na 2.77

Computed properties:
Offset from the most stable computed form ... 0.000 eV per atom
Energy of formation from the pure elements ... -0.190 eV per atom
N(E_F) ... 1.9 states/eV/cell

***

Record 20
Material: Rb2SiH2F4
Method: DFT, PBE
State: optimized geometry

Cell lengths 10.1412, 5.8484, 4.8063 Å; angles 90.00, 93.04, 90.00 degrees
Closest atoms and distances in Å follow each position.
Space group C2/m (No. 12)
One atom of each set of equivalent atoms:
Rb 0.1565 0.0000 0.2110  8 F 2.91-3.02, 2 H 2.99
Si 0.0000 0.5000 0.5000  2 H 1.52
H 0.1089 0.5000 0.2951  1 Si 1.52
F 0.0865 0.2822 0.6973  1 Si 1.79

Computed properties:
N(E_F) ... 0.0 states/eV/cell

***

Record 21
Material: SrPAu2
Method: DFT, PBE
State: optimized geometry

Cell lengths 4.4193, 4.4193, 16.6209 Å; angles 90.00, 90.00, 120.00 degrees
Closest atoms and distances in Å follow each position.
Space group R-3m (No. 166, hexagonal axes)
One atom of each set of equivalent atoms:
Sr 0.0000 0.0000 0.0000  8 Au 3.22-3.57
P 0.0000 0.0000 0.5000  6 Au 2.67
Au 0.0000 0.0000 0.2150  3 P 2.67

Computed properties:
Energy of formation from the pure elements ... -0.375 eV per atom
N(E_F) ... 8.5 states/eV/cell

***

Record 22
Material: Mg3Ni4Sn4
Method: DFT, PBE
State: optimized geometry

Cell lengths 3.2513, 8.0488, 15.0999 Å; angles 90.00, 90.00, 90.00 degrees
Closest atoms and distances in Å follow each position.
Space group Immm (No. 71)
One atom of each set of equivalent atoms:
Mg 0.0000 0.0000 0.0000  4 Ni 2.84
Mg 0.0000 0.5000 0.0964  6 Ni 2.76-2.82, 1 Mg 2.91, 4 Sn 3.08
Ni 0.0000 0.0000 0.2509  6 Sn 2.64-2.74, 2 Mg 2.82
Ni 0.0000 0.2101 0.5000  2 Sn 2.57, 6 Mg 2.76-2.84
Sn 0.0000 0.3002 0.3370  4 Ni 2.57-2.74

Computed properties:
Energy of formation from the pure elements ... -0.169 eV per atom
N(E_F) ... 11.5 states/eV/cell

***

Record 23
Material: USbCl
Method: DFT, PBE
State: optimized geometry

Cell lengths 4.6877, 4.6877, 4.0084 Å; angles 90.00, 90.00, 120.00 degrees
Closest atoms and distances in Å follow each position.
Space group P-6m2 (No. 187)
One atom of each set of equivalent atoms:
U 0.0000 0.0000 0.0000  3 Cl 2.71
Sb 0.6667 0.3333 0.5000  6 U 3.37, 6 Cl 3.37
Cl 0.3333 0.6667 0.0000  3 U 2.71

Computed properties:
Offset from the most stable computed form ... 0.000 eV per atom
ΔE_f (raw) ... -594 meV per atom
N(E_F) ... 7.7 states/eV/cell

***

Record 24
Material: InBi3Te6
Method: DFT, PBE
State: optimized geometry

Cell lengths 12.5140, 15.7511, 7.4691 Å; angles 90.00, 90.00, 90.00 degrees
Closest atoms and distances in Å follow each position.
Space group Cmc2_1 (No. 36)
One atom of each set of equivalent atoms:
In 0.0000 0.1965 0.0000  4 Te 2.81-2.86
Bi 0.0000 0.4112 0.6506  6 Te 3.16-3.25
Bi 0.1826 0.1110 0.5650  6 Te 3.16-3.29
Te 0.0000 0.0369 0.8188  1 In 2.86, 2 Bi 3.19
Te 0.0000 0.2227 0.3716  1 In 2.81
Te 0.1672 0.4703 0.3594  4 Bi 3.16-3.29
Te 0.1714 0.2752 0.8083  1 In 2.86, 2 Bi 3.16-3.20

Computed properties:
ΔE_f (raw) ... -162 meV per atom
N(E_F) ... 1.3 states/eV/cell

***

Number 1: electronic total energy -1.29 eV per atom. Number 2: electronic total energy -5.60 eV per atom. Number 3: electronic total energy -2.80 eV per atom. Number 4: electronic total energy -5.99 eV per atom. Number 5: electronic total energy -4.72 eV per atom. Number 6: electronic total energy -4.48 eV per atom. Number 7: electronic total energy -5.19 eV per atom. Number 8: electronic total energy -3.94 eV per atom. Number 9: electronic total energy -2.49 eV per atom. Number 10: electronic total energy -6.50 eV per atom. Number 11: electronic total energy -7.71 eV per atom. Number 12: electronic total energy -3.85 eV per atom. Number 13: electronic total energy -5.52 eV per atom. Number 14: electronic total energy -3.87 eV per atom. Number 15: electronic total energy -3.02 eV per atom. Number 16: electronic total energy -4.61 eV per atom. Number 17: electronic total energy -7.53 eV per atom. Number 18: electronic total energy -7.39 eV per atom. Number 19: electronic total energy -3.23 eV per atom. Number 20: electronic total energy -4.57 eV per atom. Number 21: electronic total energy -3.79 eV per atom. Number 22: electronic total energy -4.16 eV per atom. Number 23: electronic total energy -6.35 eV per atom. Number 24: electronic total energy -3.49 eV per atom.